First-principles (PBEsol) data for a relaxed structure of BeHg2Cl, as listed in Alexandria.

Its symmetry is No. 65. Its density of states at the Fermi level is 1.2 states/eV per cell. For the polymorph energy (0 for the lowest one), the calculation gives 0 meV per atom. Its total energy is -1.472 eV per atom.

Structure (POSCAR):
```
BeHg2Cl
1.0
-1.125 -3.294 0.822
2.355 -1.813 -4.041
2.734 0.116 4.204
Be Hg Cl
1 2 1
Cartesian
-0.563 -1.647 0.411
1.178 -0.907 -2.020
1.367 0.058 2.102
1.982 -2.496 0.493
```